# 1
This record from Alexandria describes an optimized crystal structure of PrHoAu. The functional is PBE.

The value obtained for the total energy is -28.67 eV for the cell shown. The calculation puts the volume at 29.0 Å³ per atom. Its formation enthalpy at 0 K is -54.69 kJ per mole of atoms. The energy above the lowest structure with this stoichiometry is 27 meV/atom.

abc: 4.868 4.868 7.356
angles: 90.00 90.00 90.00
Positions (direct):
Ho 0.500 0.500 0.500
Ho 0.000 0.000 0.500
Pr 0.000 0.500 0.879
Pr 0.500 0.000 0.121
Au 0.500 0.000 0.723
Au 0.000 0.500 0.277

---

# 2
This record from Alexandria describes an optimized crystal structure of PrHoAu6. The functional is PBE.

The value obtained for the total energy is -34.17 eV for the cell shown. The calculation puts the volume at 21.3 Å³ per atom. Its formation enthalpy at 0 K is -62.06 kJ per mole of atoms.

abc: 4.735 4.991 8.549
angles: 86.69 73.92 61.68
Positions (direct):
Au 0.240 0.876 0.644
Au 0.760 0.124 0.356
Au 0.251 0.379 0.119
Au 0.503 0.241 0.753
Au 0.749 0.621 0.881
Au 0.497 0.759 0.247
Ho 0.000 0.000 0.000
Pr 0.000 0.500 0.500

---

# 3
This record from Alexandria describes an optimized crystal structure of PrHoAu3. The functional is PBE.

The value obtained for the total energy is -46.52 eV for the cell shown. The calculation puts the volume at 24.1 Å³ per atom. Its formation enthalpy at 0 K is -78.53 kJ per mole of atoms.

abc: 3.698 4.600 14.308
angles: 90.00 97.43 90.00
Positions (direct):
Ho 0.793 0.250 0.586
Ho 0.207 0.750 0.414
Pr 0.927 0.750 0.854
Pr 0.073 0.250 0.146
Au 0.376 0.250 0.752
Au 0.624 0.750 0.248
Au 0.687 0.250 0.374
Au 0.527 0.750 0.053
Au 0.313 0.750 0.626
Au 0.473 0.250 0.947